P.
Density functional theory data (PBE) for a relaxed structure of ZrTi2HPd.

Output
- crystal system = tetragonal
- DOS at the Fermi energy (states/eV/cell) = 6.11
- space group = P4/mmm (123)

Geometry as POSCAR:
```
ZrTi2HPd
1.0
4.192 0.000 0.000
0.000 4.192 0.000
0.000 0.000 4.132
Zr Ti H Pd
1 2 1 1
Cartesian
0.000 0.000 0.000 Zr
0.000 2.096 2.066 Ti
2.096 0.000 2.066 Ti
2.096 2.096 2.066 H
2.096 2.096 0.000 Pd
```

Q.
Density functional theory data (PBE) for a relaxed structure of ZrTi2HPd.

Output
- crystal system = tetragonal
- DOS at the Fermi energy (states/eV/cell) = 7.43
- space group = P4/mmm (123)

Geometry as POSCAR:
```
ZrTi2HPd
1.0
4.048 0.000 0.000
0.000 4.048 0.000
0.000 0.000 4.445
Zr Ti H Pd
1 2 1 1
Cartesian
0.000 0.000 0.000 Zr
0.000 2.024 2.223 Ti
2.024 0.000 2.223 Ti
0.000 0.000 2.223 H
2.024 2.024 0.000 Pd
```

Stability summary - winner: Q; margin: 9.0 kJ/mol of atoms.

P.
Density functional theory data (PBE) for a relaxed structure of TlH2Pd.

Output
- crystal system = monoclinic
- DOS at the Fermi energy (states/eV/cell) = 2.59
- space group = C2/c (15)

Geometry as POSCAR:
```
TlH2Pd
1.0
5.489 0.000 0.000
0.000 8.143 0.000
-0.090 0.000 5.526
Tl H Pd
4 8 4
Cartesian
-0.022 0.959 1.382 Tl
-0.067 7.185 4.145 Tl
2.677 3.113 4.145 Tl
2.722 5.030 1.382 Tl
-0.079 2.972 5.444 H
-0.034 5.171 2.681 H
2.734 1.100 0.082 H
2.689 7.044 2.845 H
2.710 1.100 2.681 H
2.665 7.044 5.444 H
5.433 2.972 2.845 H
5.478 5.171 0.082 H
-0.022 3.986 1.382 Pd
-0.067 4.158 4.145 Pd
2.677 0.086 4.145 Pd
2.722 8.057 1.382 Pd
```

Q.
Density functional theory data (PBE) for a relaxed structure of TlH2Pd.

Output
- crystal system = trigonal
- DOS at the Fermi energy (states/eV/cell) = 1.21
- space group = R3m (160)

Geometry as POSCAR:
```
TlH2Pd
1.0
3.101 0.000 0.000
-1.551 2.686 0.000
0.000 0.000 18.960
Tl H Pd
3 6 3
Cartesian
0.000 0.000 0.000 Tl
0.000 1.790 12.640 Tl
1.551 0.895 6.320 Tl
0.000 0.000 10.136 H
0.000 0.000 15.230 H
0.000 1.790 3.816 H
0.000 1.790 8.910 H
1.551 0.895 2.590 H
1.551 0.895 16.456 H
0.000 0.000 3.207 Pd
0.000 1.790 15.847 Pd
1.551 0.895 9.527 Pd
```

R.
Density functional theory data (PBE) for a relaxed structure of TlH2Pd.

Output
- crystal system = cubic
- DOS at the Fermi energy (states/eV/cell) = 18.13
- space group = Fm-3m (225)

Geometry as POSCAR:
```
TlH2Pd
1.0
5.827 0.000 0.000
0.000 5.827 0.000
0.000 0.000 5.827
Tl H Pd
4 8 4
Cartesian
0.000 0.000 0.000 Tl
0.000 2.914 2.914 Tl
2.914 0.000 2.914 Tl
2.914 2.914 0.000 Tl
1.457 1.457 1.457 H
1.457 1.457 4.370 H
1.457 4.370 1.457 H
1.457 4.370 4.370 H
4.370 1.457 1.457 H
4.370 1.457 4.370 H
4.370 4.370 1.457 H
4.370 4.370 4.370 H
0.000 0.000 2.914 Pd
0.000 2.914 0.000 Pd
2.914 0.000 0.000 Pd
2.914 2.914 2.914 Pd
```

Stability summary - winner: P; margin: 8.9 kJ/mol of atoms.

P.
Density functional theory data (PBE) for a relaxed structure of Tl2H2Pd.

Output
- crystal system = tetragonal
- DOS at the Fermi energy (states/eV/cell) = 3.02
- space group = P4/mbm (127)

Geometry as POSCAR:
```
Tl2H2Pd
1.0
5.852 0.000 0.000
0.000 5.852 0.000
0.000 0.000 4.864
Tl H Pd
4 4 2
Cartesian
1.114 1.812 0.000 Tl
1.812 4.738 0.000 Tl
4.040 1.114 0.000 Tl
4.738 4.040 0.000 Tl
1.423 4.349 2.432 H
1.503 1.423 2.432 H
4.349 4.429 2.432 H
4.429 1.503 2.432 H
0.000 0.000 2.432 Pd
2.926 2.926 2.432 Pd
```

Q.
Density functional theory data (PBE) for a relaxed structure of Tl2H2Pd.

Output
- crystal system = tetragonal
- DOS at the Fermi energy (states/eV/cell) = 2.59
- space group = I4/mmm (139)

Geometry as POSCAR:
```
Tl2H2Pd
1.0
3.420 0.000 0.000
0.000 3.420 0.000
0.000 0.000 13.245
Tl H Pd
4 4 2
Cartesian
0.000 0.000 1.801 Tl
0.000 0.000 11.444 Tl
1.710 1.710 4.822 Tl
1.710 1.710 8.424 Tl
0.000 1.710 3.311 H
0.000 1.710 9.934 H
1.710 0.000 3.311 H
1.710 0.000 9.934 H
0.000 0.000 6.623 Pd
1.710 1.710 0.000 Pd
```

Stability summary - winner: P; margin: 6.7 kJ/mol of atoms.

P.
Density functional theory data (PBE) for a relaxed structure of Tl2HPd3.

Output
- crystal system = monoclinic
- DOS at the Fermi energy (states/eV/cell) = 3.55
- space group = C2/c (15)

Geometry as POSCAR:
```
Tl2HPd3
1.0
6.301 -2.750 0.000
6.301 2.750 0.000
-1.771 0.000 5.738
Tl H Pd
4 2 6
Cartesian
2.030 0.616 0.888 Tl
1.145 -0.616 3.757 Tl
9.687 0.616 1.981 Tl
8.801 -0.616 4.850 Tl
5.859 0.420 1.434 H
4.973 -0.420 4.303 H
5.859 2.203 1.434 Pd
4.051 0.512 3.059 Pd
4.936 -0.512 0.190 Pd
5.896 0.512 5.548 Pd
6.781 -0.512 2.679 Pd
4.973 -2.203 4.303 Pd
```

Q.
Density functional theory data (PBE) for a relaxed structure of Tl2HPd3.

Output
- crystal system = orthorhombic
- DOS at the Fermi energy (states/eV/cell) = 5.32
- space group = Cmcm (63)

Geometry as POSCAR:
```
Tl2HPd3
1.0
1.752 -9.308 0.000
1.752 9.308 0.000
0.000 0.000 6.117
Tl H Pd
4 2 6
Cartesian
1.752 9.281 4.588 Tl
1.752 5.752 1.529 Tl
1.752 -5.752 4.588 Tl
1.752 -9.281 1.529 Tl
1.752 2.833 1.529 H
1.752 -2.833 4.588 H
1.752 5.801 4.588 Pd
1.752 1.748 3.084 Pd
1.752 1.748 6.091 Pd
1.752 -1.748 0.026 Pd
1.752 -1.748 3.033 Pd
1.752 -5.801 1.529 Pd
```

Stability summary - winner: Q; margin: 2.3 kJ/mol of atoms.

P.
Density functional theory data (PBE) for a relaxed structure of Tl2HPd6.

Output
- crystal system = cubic
- DOS at the Fermi energy (states/eV/cell) = 5.98
- space group = Fm-3m (225)

Geometry as POSCAR:
```
Tl2HPd6
1.0
0.000 4.102 4.102
4.102 0.000 4.102
4.102 4.102 0.000
Tl H Pd
2 1 6
Cartesian
2.051 2.051 2.051 Tl
6.153 6.153 6.153 Tl
0.000 0.000 0.000 H
4.102 4.102 2.062 Pd
4.102 2.062 4.102 Pd
6.141 4.102 4.102 Pd
2.062 4.102 4.102 Pd
4.102 6.141 4.102 Pd
4.102 4.102 6.141 Pd
```

Q.
Density functional theory data (PBE) for a relaxed structure of Tl2HPd6.

Output
- crystal system = trigonal
- DOS at the Fermi energy (states/eV/cell) = 1.83
- space group = P-3m1 (164)

Geometry as POSCAR:
```
Tl2HPd6
1.0
5.832 0.000 0.000
-2.916 5.051 0.000
0.000 0.000 4.698
Tl H Pd
2 1 6
Cartesian
0.000 3.367 1.162 Tl
2.916 1.684 3.536 Tl
0.000 0.000 2.349 H
0.000 1.670 3.520 Pd
-1.470 4.216 3.520 Pd
1.446 0.835 1.178 Pd
1.470 4.216 3.520 Pd
4.386 0.835 1.178 Pd
2.916 3.381 1.178 Pd
```

Stability summary - winner: P; margin: 1.8 kJ/mol of atoms.

P.
Density functional theory data (PBE) for a relaxed structure of Tm2HPd.

Output
- crystal system = trigonal
- DOS at the Fermi energy (states/eV/cell) = 6.09
- space group = R-3m (166)

Geometry as POSCAR:
```
Tm2HPd
1.0
3.815 0.000 0.000
-1.908 3.304 0.000
0.000 0.000 18.432
Tm H Pd
6 3 3
Cartesian
0.000 0.000 4.423 Tm
0.000 0.000 14.009 Tm
0.000 2.203 7.865 Tm
0.000 2.203 16.711 Tm
1.908 1.101 1.721 Tm
1.908 1.101 10.567 Tm
0.000 0.000 9.216 H
0.000 2.203 3.072 H
1.908 1.101 15.360 H
0.000 0.000 0.000 Pd
0.000 2.203 12.288 Pd
1.908 1.101 6.144 Pd
```

Q.
Density functional theory data (PBE) for a relaxed structure of Tm2HPd.

Output
- crystal system = tetragonal
- DOS at the Fermi energy (states/eV/cell) = 3.72
- space group = P4/mmm (123)

Geometry as POSCAR:
```
Tm2HPd
1.0
3.274 0.000 0.000
0.000 3.274 0.000
0.000 0.000 6.955
Tm H Pd
2 1 1
Cartesian
0.000 0.000 1.669 Tm
0.000 0.000 5.286 Tm
1.637 1.637 0.000 H
1.637 1.637 3.477 Pd
```

Stability summary - winner: P; margin: 20.9 kJ/mol of atoms.